A crystal of Er5Si3 relaxed with PBEsol. Source: Alexandria, functional meta-GGA SCAN.

Summary:
**Formation energy (no corrections)**: -0.7436 eV per atom

a = 6.1776 Å, b = 8.2661 Å, c = 8.2661 Å
α = 120.00°, β = 90.00°, γ = 90.00°
Closest atoms and distances in Å follow each position.
Sites, in units of the cell vectors:
Er (0.0000, 0.3333, 0.6667)  6 Si 2.97, 2 Er 3.09
Er (0.5000, 0.6667, 0.3333)  6 Si 2.97, 2 Er 3.09
Er (0.0000, 0.6667, 0.3333)  6 Si 2.97, 2 Er 3.09
Er (0.5000, 0.3333, 0.6667)  6 Si 2.97, 2 Er 3.09
Er (0.7500, 0.0000, 0.7577)  3 Si 2.85-3.00
Er (0.7500, 0.7577, 0.0000)  3 Si 2.85-3.00
Er (0.7500, 0.2423, 0.2423)  3 Si 2.85-3.00
Er (0.2500, 0.0000, 0.2423)  3 Si 2.85-3.00
Er (0.2500, 0.2423, 0.0000)  3 Si 2.85-3.00
Er (0.2500, 0.7577, 0.7577)  3 Si 2.85-3.00
Si (0.7500, 0.0000, 0.3953)  7 Er 2.85-3.00
Si (0.7500, 0.3953, 0.0000)  7 Er 2.85-3.00
Si (0.7500, 0.6047, 0.6047)  7 Er 2.85-3.00
Si (0.2500, 0.0000, 0.6047)  7 Er 2.85-3.00
Si (0.2500, 0.6047, 0.0000)  7 Er 2.85-3.00
Si (0.2500, 0.3953, 0.3953)  7 Er 2.85-3.00